[1]
This record from Alexandria via LeMat-Bulk describes a geometry-optimized AcAsP2 structure. The functional is PBE-GGA.

The volume is 22.18 A^3/atom. For the polymorph energy (0 for the lowest one), the calculation gives 141.9 meV/atom. The density of states at the Fermi level comes out at 1.4 states/eV/cell.

The space group is P4/mmm (No. 123) and the conventional cell measures 3.861, 3.861 and 5.952 Å, with angles of 90.00, 90.00 and 90.00 degrees. The distinct sites, in fractional coordinates, are Ac at (0.000, 0.000, 0.000), As at (0.000, 0.000, 0.500) and P at (0.500, 0.500, 0.311).

=====

[2]
This record from Alexandria via LeMat-Bulk describes a geometry-optimized Ac3AsP structure. The functional is PBE-GGA.

The volume is 38.10 A^3/atom. The calculation puts the calculated total energy at -4.980 eV/atom. The density of states at the Fermi level comes out at 5.2 states/eV/cell.

The space group is Pm-3m (No. 221) and the conventional cell measures 5.754, 5.754 and 5.754 Å, with angles of 90.00, 90.00 and 90.00 degrees. The distinct sites, in fractional coordinates, are Ac at (0.000, 0.000, 0.500), As at (0.500, 0.500, 0.500) and P at (0.000, 0.000, 0.000).

=====

[3]
This record from Alexandria via LeMat-Bulk describes a geometry-optimized Ac6AsP4 structure. The functional is PBE-GGA.

The volume is 32.66 A^3/atom. The calculation puts the calculated total energy at -5.951 eV/atom. The density of states at the Fermi level comes out at 17.2 states/eV/cell.

The space group is Cmcm (No. 63) and the conventional cell measures 4.419, 14.526 and 22.388 Å, with angles of 90.00, 90.00 and 90.00 degrees. The distinct sites, in fractional coordinates, are Ac at (0.000, 0.000, 0.000), Ac at (0.000, 0.178, 0.250), Ac at (0.000, 0.276, 0.581), Ac at (0.000, 0.453, 0.162), As at (0.000, 0.163, 0.750), P at (0.000, 0.089, 0.128) and P at (0.000, 0.362, 0.043).

=====

[4]
This record from Alexandria via LeMat-Bulk describes a geometry-optimized Ac4As3P structure. The functional is PBE-GGA.

The volume is 32.80 A^3/atom. The calculation puts the calculated total energy at -5.949 eV/atom. The density of states at the Fermi level comes out at 1.3 states/eV/cell.

The space group is Pm-3m (No. 221) and the conventional cell measures 6.402, 6.402 and 6.402 Å, with angles of 90.00, 90.00 and 90.00 degrees. The distinct sites, in fractional coordinates, are Ac at (0.000, 0.000, 0.000), Ac at (0.000, 0.500, 0.500), As at (0.000, 0.000, 0.500) and P at (0.500, 0.500, 0.500).

=====

[5]
This record from Alexandria via LeMat-Bulk describes a geometry-optimized AcAs2P structure. The functional is PBE-GGA.

The volume is 23.02 A^3/atom. For the polymorph energy (0 for the lowest one), the calculation gives 0.0 meV/atom. The density of states at the Fermi level comes out at 2.4 states/eV/cell.

The space group is P4/mmm (No. 123) and the conventional cell measures 4.399, 4.399 and 4.759 Å, with angles of 90.00, 90.00 and 90.00 degrees. The distinct sites, in fractional coordinates, are Ac at (0.000, 0.000, 0.000), As at (0.000, 0.500, 0.500) and P at (0.500, 0.500, 0.000).

=====

[6]
This record from Alexandria via LeMat-Bulk describes a geometry-optimized AcPaAsP structure. The functional is PBE-GGA.

The volume is 24.01 A^3/atom. The calculation puts the calculated total energy at -6.757 eV/atom. The density of states at the Fermi level comes out at 18.4 states/eV/cell.

The space group is F-43m (No. 216) and the conventional cell measures 7.270, 7.270 and 7.270 Å, with angles of 90.00, 90.00 and 90.00 degrees. The distinct sites, in fractional coordinates, are Ac at (0.000, 0.000, 0.000), Pa at (0.000, 0.000, 0.500), As at (0.250, 0.250, 0.250) and P at (0.250, 0.250, 0.750).

=====

[7]
This record from Alexandria via LeMat-Bulk describes a geometry-optimized Ac2AsPPd6 structure. The functional is PBE-GGA.

The volume is 21.57 A^3/atom. The calculation puts the calculated total energy at -5.688 eV/atom. The density of states at the Fermi level comes out at 3.9 states/eV/cell.

The space group is C2/m (No. 12) and the conventional cell measures 9.511, 9.524 and 6.724 Å, with angles of 90.00, 134.90 and 90.00 degrees. The distinct sites, in fractional coordinates, are Ac at (0.000, 0.250, 0.000), As at (0.000, 0.000, 0.500), P at (0.000, 0.500, 0.500), Pd at (0.000, 0.258, 0.500), Pd at (0.242, 0.500, 0.500) and Pd at (0.242, 0.500, 0.984).

=====

[8]
This record from Alexandria via LeMat-Bulk describes a geometry-optimized Ac2AsP3Pd4 structure. The functional is PBE-GGA.

The volume is 19.47 A^3/atom. The calculation puts the calculated total energy at -5.922 eV/atom. The density of states at the Fermi level comes out at 3.6 states/eV/cell.

The space group is P-4m2 (No. 115) and the conventional cell measures 4.452, 4.452 and 9.823 Å, with angles of 90.00, 90.00 and 90.00 degrees. The distinct sites, in fractional coordinates, are Ac at (0.000, 0.500, 0.248), As at (0.000, 0.000, 0.500), P at (0.000, 0.500, 0.871), P at (0.500, 0.500, 0.500), Pd at (0.000, 0.000, 0.000), Pd at (0.000, 0.500, 0.620) and Pd at (0.500, 0.500, 0.000).

=====

[9]
This record from Alexandria via LeMat-Bulk describes a geometry-optimized AcPrAsP structure. The functional is PBE-GGA.

The volume is 30.12 A^3/atom. The calculation puts the calculated total energy at -6.046 eV/atom. The density of states at the Fermi level comes out at 0.4 states/eV/cell.

The space group is R3m (No. 160, hexagonal axes) and the conventional cell measures 4.3073, 4.3073 and 22.4979 Å, with angles of 90.00, 90.00 and 120.00 degrees. The distinct sites, in fractional coordinates, are Ac at (0.0000, 0.0000, 0.0000), Pr at (0.0000, 0.0000, 0.1669), As at (0.0000, 0.0000, 0.5811) and P at (0.0000, 0.0000, 0.4200).

=====

[10]
This record from Alexandria via LeMat-Bulk describes a geometry-optimized Ac3AsP2Pt8 structure. The functional is PBE-GGA.

The volume is 20.44 A^3/atom. The calculation puts the calculated total energy at -6.281 eV/atom. The density of states at the Fermi level comes out at 4.8 states/eV/cell.

The space group is P-3m1 (No. 164) and the conventional cell measures 5.6451, 5.6451 and 10.3702 Å, with angles of 90.00, 90.00 and 120.00 degrees. The distinct sites, in fractional coordinates, are Ac at (0.0000, 0.0000, 0.0000), Ac at (0.3333, 0.6667, 0.5873), As at (0.0000, 0.0000, 0.5000), P at (0.3333, 0.6667, 0.1170), Pt at (0.1655, 0.3310, 0.2747) and Pt at (0.3333, 0.6667, 0.9008).

=====

[11]
This record from Alexandria via LeMat-Bulk describes a geometry-optimized Ac2AsP3Pt4 structure. The functional is PBE-GGA.

The volume is 19.51 A^3/atom. The calculation puts the calculated total energy at -6.293 eV/atom. The density of states at the Fermi level comes out at 3.0 states/eV/cell.

The space group is P-4m2 (No. 115) and the conventional cell measures 4.471, 4.471 and 9.757 Å, with angles of 90.00, 90.00 and 90.00 degrees. The distinct sites, in fractional coordinates, are Ac at (0.000, 0.500, 0.249), As at (0.000, 0.000, 0.500), P at (0.000, 0.500, 0.872), P at (0.500, 0.500, 0.500), Pt at (0.000, 0.000, 0.000), Pt at (0.000, 0.500, 0.620) and Pt at (0.500, 0.500, 0.000).

=====

[12]
This record from Alexandria via LeMat-Bulk describes a geometry-optimized Ac2As3PPt4 structure. The functional is PBE-GGA.

The volume is 20.49 A^3/atom. The calculation puts the calculated total energy at -6.125 eV/atom. The density of states at the Fermi level comes out at 3.3 states/eV/cell.

The space group is P-4m2 (No. 115) and the conventional cell measures 4.545, 4.545 and 9.918 Å, with angles of 90.00, 90.00 and 90.00 degrees. The distinct sites, in fractional coordinates, are Ac at (0.000, 0.500, 0.248), As at (0.000, 0.000, 0.000), As at (0.000, 0.500, 0.631), P at (0.500, 0.500, 0.000), Pt at (0.000, 0.000, 0.500), Pt at (0.000, 0.500, 0.890) and Pt at (0.500, 0.500, 0.500).

=====

[13]
This record from Alexandria via LeMat-Bulk describes a geometry-optimized Ac3AsP2Pt6 structure. The functional is PBE-GGA.

The volume is 23.72 A^3/atom. The calculation puts the calculated total energy at -6.246 eV/atom. The density of states at the Fermi level comes out at 4.4 states/eV/cell.

The space group is P-3m1 (No. 164) and the conventional cell measures 6.6292, 6.6292 and 7.4775 Å, with angles of 90.00, 90.00 and 120.00 degrees. The distinct sites, in fractional coordinates, are Ac at (0.0000, 0.0000, 0.0000), Ac at (0.3333, 0.6667, 0.6791), As at (0.0000, 0.0000, 0.5000), P at (0.3333, 0.6667, 0.1049) and Pt at (0.1807, 0.3613, 0.3098).

=====

[14]
This record from Alexandria via LeMat-Bulk describes a geometry-optimized Ac3AsP2Rh9 structure. The functional is PBE-GGA.

The volume is 19.67 A^3/atom. The calculation puts the calculated total energy at -6.963 eV/atom. The density of states at the Fermi level comes out at 8.4 states/eV/cell.

The space group is P-3m1 (No. 164) and the conventional cell measures 6.2186, 6.2186 and 8.8088 Å, with angles of 90.00, 90.00 and 120.00 degrees. The distinct sites, in fractional coordinates, are Ac at (0.0000, 0.0000, 0.0000), Ac at (0.3333, 0.6667, 0.6552), As at (0.0000, 0.0000, 0.5000), P at (0.3333, 0.6667, 0.1645), Rh at (0.0000, 0.5000, 0.0000) and Rh at (0.1535, 0.3071, 0.2902).

=====

[15]
This record from Alexandria via LeMat-Bulk describes a geometry-optimized Ac2AsPRh6 structure. The functional is PBE-GGA.

The volume is 19.81 A^3/atom. The calculation puts the calculated total energy at -6.980 eV/atom. The density of states at the Fermi level comes out at 1.5 states/eV/cell.

The space group is P-1 (No. 2) and the conventional cell measures 6.296, 6.324 and 6.745 Å, with angles of 62.86, 62.63 and 60.43 degrees. The distinct sites, in fractional coordinates, are Ac at (0.232, 0.233, 0.305), As at (0.500, 0.500, 0.500), P at (0.000, 0.000, 0.000), Rh at (0.244, 0.682, 0.827), Rh at (0.245, 0.244, 0.823) and Rh at (0.315, 0.756, 0.175).

=====

[16]
This record from Alexandria via LeMat-Bulk describes a geometry-optimized AcAsPRh3 structure. The functional is PBE-GGA.

The volume is 20.36 A^3/atom. The calculation puts the calculated total energy at -6.855 eV/atom. The density of states at the Fermi level comes out at 11.4 states/eV/cell.

The space group is Cmcm (No. 63) and the conventional cell measures 5.739, 14.808 and 5.751 Å, with angles of 90.00, 90.00 and 90.00 degrees. The distinct sites, in fractional coordinates, are Ac at (0.000, 0.207, 0.250), As at (0.000, 0.095, 0.750), P at (0.000, 0.417, 0.750), Rh at (0.000, 0.261, 0.750) and Rh at (0.246, 0.500, 0.000).

=====

[17]
This record from Alexandria via LeMat-Bulk describes a geometry-optimized Ac4As2PS structure. The functional is PBE-GGA.

Its formation energy (no corrections) is -1650.6 meV per atom. The volume is 31.51 A^3/atom. The density of states at the Fermi level comes out at 2.0 states/eV/cell.

The space group is P2/m (No. 10) and the conventional cell measures 7.723, 4.474 and 7.740 Å, with angles of 90.00, 109.48 and 90.00 degrees. The distinct sites, in fractional coordinates, are Ac at (0.246, 0.000, 0.246), Ac at (0.248, 0.500, 0.753), As at (0.500, 0.000, 0.000), As at (0.500, 0.500, 0.500), P at (0.000, 0.500, 0.000) and S at (0.000, 0.000, 0.500).

=====

[18]
This record from Alexandria via LeMat-Bulk describes a geometry-optimized Ac8As4PS3 structure. The functional is PBE-GGA.

Its formation energy (no corrections) is -1721.1 meV per atom. The volume is 31.17 A^3/atom. The density of states at the Fermi level comes out at 6.7 states/eV/cell.

The space group is R-3m (No. 166, hexagonal axes) and the conventional cell measures 8.9193, 8.9193 and 21.7163 Å, with angles of 90.00, 90.00 and 120.00 degrees. The distinct sites, in fractional coordinates, are Ac at (0.0000, 0.0000, 0.2501), Ac at (0.0030, 0.5015, 0.2491), As at (0.0000, 0.0000, 0.0000), As at (0.0000, 0.5000, 0.0000), P at (0.0000, 0.0000, 0.5000) and S at (0.0000, 0.5000, 0.5000).

=====

[19]
This record from Alexandria via LeMat-Bulk describes a geometry-optimized Ac6AsP2S3 structure. The functional is PBE-GGA.

Its formation energy (no corrections) is -1792.6 meV per atom. The volume is 30.11 A^3/atom. The density of states at the Fermi level comes out at 8.8 states/eV/cell.

The space group is C2/m (No. 12) and the conventional cell measures 19.164, 4.409 and 8.776 Å, with angles of 90.00, 102.97 and 90.00 degrees. The distinct sites, in fractional coordinates, are Ac at (0.002, 0.000, 0.253), Ac at (0.168, 0.500, 0.089), Ac at (0.168, 0.500, 0.580), As at (0.000, 0.500, 0.000), P at (0.167, 0.000, 0.334), S at (0.000, 0.500, 0.500) and S at (0.166, 0.000, 0.834).

=====

[20]
This record from Alexandria via LeMat-Bulk describes a geometry-optimized Ac4AsPS2 structure. The functional is PBE-GGA.

Its formation energy (no corrections) is -1786.3 meV per atom. The volume is 30.29 A^3/atom. The density of states at the Fermi level comes out at 3.7 states/eV/cell.

The space group is P2/m (No. 10) and the conventional cell measures 7.597, 4.423 and 7.658 Å, with angles of 90.00, 109.66 and 90.00 degrees. The distinct sites, in fractional coordinates, are Ac at (0.246, 0.000, 0.245), Ac at (0.249, 0.500, 0.754), As at (0.000, 0.000, 0.500), P at (0.000, 0.500, 0.000), S at (0.500, 0.000, 0.000) and S at (0.500, 0.500, 0.500).

=====

[21]
This record from Alexandria via LeMat-Bulk describes a geometry-optimized Ac8AsP3S4 structure. The functional is PBE-GGA.

Its formation energy (no corrections) is -1792.3 meV per atom. The volume is 30.03 A^3/atom. The density of states at the Fermi level comes out at 21.1 states/eV/cell.

The space group is R-3m (No. 166, hexagonal axes) and the conventional cell measures 8.8095, 8.8095 and 21.4485 Å, with angles of 90.00, 90.00 and 120.00 degrees. The distinct sites, in fractional coordinates, are Ac at (0.0000, 0.0000, 0.2478), Ac at (0.0041, 0.5020, 0.7513), As at (0.0000, 0.0000, 0.5000), P at (0.0000, 0.5000, 0.5000), S at (0.0000, 0.0000, 0.0000) and S at (0.0000, 0.5000, 0.0000).

=====

[22]
This record from Alexandria via LeMat-Bulk describes a geometry-optimized Ac8As4P3S structure. The functional is PBE-GGA.

Its formation energy (no corrections) is -1570.2 meV per atom. The volume is 31.86 A^3/atom. The density of states at the Fermi level comes out at 10.1 states/eV/cell.

The space group is R-3m (No. 166, hexagonal axes) and the conventional cell measures 8.9684, 8.9684 and 21.9561 Å, with angles of 90.00, 90.00 and 120.00 degrees. The distinct sites, in fractional coordinates, are Ac at (0.0000, 0.0000, 0.2481), Ac at (0.0031, 0.5016, 0.7512), As at (0.0000, 0.0000, 0.0000), As at (0.0000, 0.5000, 0.0000), P at (0.0000, 0.5000, 0.5000) and S at (0.0000, 0.0000, 0.5000).